VASP calculation (PBE) on a relaxed Dy2Cd2In crystal.

Results
Density of states at the Fermi level   3.97 states/eV/f.u.
Electronic total energy   -3.07 eV/atom
Calculated formation energy   -316.0 meV/atom
Mass density   8.59 g/cm³

Cell: 11.186 4.995 9.807 Å, 90.00 110.28 90.00°
Space group C2/m (No. 12)
Inequivalent atoms, fractional coordinates:
Dy  0.049  0.000  0.347 [4 per cell]
Dy  0.168  0.000  0.061 [4 per cell]
Cd  0.028  0.500  0.864 [4 per cell]
Cd  0.134  0.500  0.580 [4 per cell]
In  0.244  0.500  0.296 [4 per cell]

VASP calculation (PBE) on a relaxed Dy2CdIn3 crystal.

Results
Density of states at the Fermi level   3.27 states/eV/f.u.
Electronic total energy   -3.45 eV/atom
Calculated formation energy   -399.1 meV/atom
Mass density   8.61 g/cm³

Cell: 7.091 9.914 17.158 Å, 90.00 90.00 90.00°
Space group Fmmm (No. 69)
Inequivalent atoms, fractional coordinates:
Dy  0.250  0.000  0.000 [8 per cell]
Dy  0.250  0.250  0.250 [8 per cell]
Cd  0.000  0.000  0.167 [8 per cell]
In  0.000  0.000  0.332 [8 per cell]
In  0.000  0.248  0.084 [16 per cell]

VASP calculation (PBE) on a relaxed DyCd4In crystal.

Results
Density of states at the Fermi level   5.14 states/eV/f.u.
Electronic total energy   -1.92 eV/atom
Calculated formation energy   -81.6 meV/atom
Mass density   8.16 g/cm³
Relative energy among the computed polymorphs   119 meV/atom

Cell: 8.395 8.395 8.395 Å, 90.00 90.00 90.00°
Space group F-43m (No. 216)
Inequivalent atoms, fractional coordinates:
Dy  0.000  0.000  0.000 [4 per cell]
Cd  0.125  0.125  0.375 [16 per cell]
In  0.250  0.250  0.750 [4 per cell]